(1)
VASP calculation (PBE) on an optimized crystal structure of TlCuRe2.

a = 5.2649 Å, b = 8.7970 Å, c = 2.8372 Å
α = 90.00°, β = 90.00°, γ = 90.00°
Closest atoms and distances in Å follow each position.
Space group Cmmm (No. 65)
Symmetry-distinct sites (fractional):
Tl 0.0000 0.0000 0.0000 [2 per cell]  2 Cu 2.63, 2 Tl 2.84, 8 Re 2.93
Cu 0.0000 0.5000 0.0000 [2 per cell]  2 Tl 2.63, 2 Cu 2.84, 8 Re 2.93
Re 0.2500 0.2500 0.5000 [4 per cell]  4 Re 2.63-2.84, 4 Tl 2.93, 4 Cu 2.93

Calculated values
Excess energy over the best structure of this formula in the dataset (meV/atom): 568
Total DFT energy (no corrections) (eV/atom): -6.816

(2)
VASP calculation (PBE) on an optimized crystal structure of AcY2TeO8.

a = 5.0345 Å, b = 7.2583 Å, c = 5.0393 Å
α = 90.00°, β = 90.43°, γ = 90.00°
Closest atoms and distances in Å follow each position.
Space group P2/m (No. 10)
Symmetry-distinct sites (fractional):
Ac 0.0000 0.0000 0.0000 [1 per cell]  6 O 2.34-2.56
Y 0.5000 0.2676 0.5000 [2 per cell]  6 O 2.26-2.31
Te 0.0000 0.5000 0.0000 [1 per cell]  6 O 1.96-1.97
O 0.1845 0.3016 0.8142 [4 per cell]  1 Te 1.96
O 0.2778 0.5000 0.2761 [2 per cell]  1 Te 1.97
O 0.3309 0.0000 0.3291 [2 per cell]  2 Y 2.29, 1 Ac 2.34, 1 O 2.41

Calculated values
Total DFT energy (no corrections) (eV/atom): -7.468
Uncorrected formation energy (meV/atom): -2480.8

(3)
VASP calculation (PBE) on an optimized crystal structure of AlPbW2.

a = 3.4408 Å, b = 4.6732 Å, c = 8.9573 Å
α = 90.00°, β = 90.00°, γ = 90.00°
Closest atoms and distances in Å follow each position.
Space group Imm2 (No. 44)
Symmetry-distinct sites (fractional):
Al 0.0000 0.0000 0.0000 [2 per cell]  6 W 2.76-2.92, 2 Pb 2.97
Pb 0.0000 0.5000 0.7705 [2 per cell]  8 W 2.90-3.15, 4 Al 2.97-3.11
W 0.0000 0.0000 0.5350 [2 per cell]  2 W 2.64, 4 Al 2.92, 2 Pb 2.93
W 0.0000 0.5000 0.2585 [2 per cell]  2 W 2.64, 2 Al 2.76, 4 Pb 2.90

Calculated values
Excess energy over the best structure of this formula in the dataset (meV/atom): 282
Total DFT energy (no corrections) (eV/atom): -7.675

(4)
VASP calculation (PBE) on an optimized crystal structure of SmAgS2.

a = 3.9488 Å, b = 3.9488 Å, c = 19.9093 Å
α = 90.00°, β = 90.00°, γ = 120.00°
Closest atoms and distances in Å follow each position.
Space group R3m (No. 160, hexagonal axes)
Symmetry-distinct sites (fractional):
Sm 0.0000 0.0000 0.0000 [3 per cell]  6 S 2.82-2.84
Ag 0.0000 0.0000 0.1701 [3 per cell]  6 S 2.76-2.86
S 0.0000 0.0000 0.5818 [3 per cell]  3 Ag 2.76, 3 Sm 2.84
S 0.0000 0.0000 0.7504 [3 per cell]  3 Sm 2.82, 3 Ag 2.86

Calculated values
Total DFT energy (no corrections) (eV/atom): -5.111
Uncorrected formation energy (meV/atom): -1154.7

(5)
VASP calculation (PBE) on an optimized crystal structure of Nd8MgIn2.

a = 17.5759 Å, b = 5.0982 Å, c = 8.3339 Å
α = 90.00°, β = 110.43°, γ = 90.00°
Closest atoms and distances in Å follow each position.
Space group C2/m (No. 12)
Symmetry-distinct sites (fractional):
Nd 0.0545 0.0000 0.2305 [4 per cell]  1 In 3.32, 8 Nd 3.44-3.71
Nd 0.0979 0.5000 0.9584 [4 per cell]  3 In 3.39-3.50, 8 Nd 3.57-3.77, 1 Mg 3.60
Nd 0.1440 0.0000 0.7062 [4 per cell]  3 In 3.37-3.42, 7 Nd 3.57-3.72, 2 Mg 3.58
Nd 0.1822 0.5000 0.4405 [4 per cell]  1 In 3.27, 7 Nd 3.39-3.66, 1 Mg 3.41
Mg 0.0000 0.5000 0.5000 [2 per cell]  12 Nd 3.41-3.74
In 0.2250 0.0000 0.1440 [4 per cell]  8 Nd 3.27-3.50

Calculated values
Total DFT energy (no corrections) (eV/atom): -4.277

(6)
VASP calculation (PBE) on an optimized crystal structure of LiMgV.

a = 4.8757 Å, b = 4.8757 Å, c = 5.6344 Å
α = 90.00°, β = 90.00°, γ = 120.00°
Closest atoms and distances in Å follow each position.
Space group P6_3/mmc (No. 194)
Symmetry-distinct sites (fractional):
Li 0.0000 0.0000 0.0000 [2 per cell]  2 Li 2.82, 6 Mg 3.15, 6 V 3.15
Mg 0.3333 0.6667 0.2500 [2 per cell]  5 V 2.81-2.82, 6 Li 3.15
V 0.3333 0.6667 0.7500 [2 per cell]  5 Mg 2.81-2.82, 6 Li 3.15

Calculated values
Excess energy over the best structure of this formula in the dataset (meV/atom): 401
Total DFT energy (no corrections) (eV/atom): -3.590

(7)
VASP calculation (PBE) on an optimized crystal structure of Sn5Te12Br3.

a = 18.6984 Å, b = 18.6984 Å, c = 18.6984 Å
α = 90.00°, β = 90.00°, γ = 90.00°
Closest atoms and distances in Å follow each position.
Space group Ia-3d (No. 230)
Symmetry-distinct sites (fractional):
Sn 0.0000 0.0000 0.0000 [16 per cell]  6 Te 3.23
Sn 0.0000 0.2500 0.3750 [24 per cell]  4 Te 2.91
Te 0.0591 0.0856 0.6377 [96 per cell]  1 Te 2.82, 1 Sn 2.91
Br 0.0000 0.2500 0.1250 [24 per cell]  4 Te 3.28

Calculated values
Total DFT energy (no corrections) (eV/atom): -3.107
Uncorrected formation energy (meV/atom): 30.1

(8)
VASP calculation (PBE) on an optimized crystal structure of La2PtBr.

a = 3.5501 Å, b = 3.6035 Å, c = 8.3596 Å
α = 90.00°, β = 90.01°, γ = 90.00°
Closest atoms and distances in Å follow each position.
Space group P2/m (No. 10)
Symmetry-distinct sites (fractional):
La 0.0019 0.0000 0.2820 [2 per cell]  4 Pt 3.11-3.12, 4 Br 3.45-3.46
Pt 0.5000 0.5000 0.5000 [1 per cell]  8 La 3.11-3.12
Br 0.5000 0.5000 0.0000 [1 per cell]  8 La 3.45-3.46, 4 Br 3.55-3.60

Calculated values
Excess energy over the best structure of this formula in the dataset (meV/atom): 188
Total DFT energy (no corrections) (eV/atom): -5.554
Uncorrected formation energy (meV/atom): -1161.5

(9)
VASP calculation (PBE) on an optimized crystal structure of Ac5BiOs2.

a = 8.4514 Å, b = 8.4514 Å, c = 14.8428 Å
α = 90.00°, β = 90.00°, γ = 90.00°
Closest atoms and distances in Å follow each position.
Space group I4/mcm (No. 140)
Symmetry-distinct sites (fractional):
Ac 0.0000 0.0000 0.0000 [4 per cell]  4 Os 3.26
Ac 0.1578 0.3422 0.1288 [16 per cell]  3 Os 3.07-3.17
Bi 0.0000 0.0000 0.2500 [4 per cell]  10 Ac 3.66-3.71
Os 0.1414 0.3586 0.5000 [8 per cell]  8 Ac 3.07-3.26, 1 Os 3.38

Calculated values
Total DFT energy (no corrections) (eV/atom): -6.137

(10)
VASP calculation (PBE) on an optimized crystal structure of Pm2Sm3Y4.

a = 16.6155 Å, b = 11.7042 Å, c = 6.1695 Å
α = 90.00°, β = 96.28°, γ = 90.00°
Closest atoms and distances in Å follow each position.
Space group C2/c (No. 15)
Symmetry-distinct sites (fractional):
Pm 0.1212 0.1414 0.3233 [8 per cell]  4 Y 3.34-3.60, 4 Sm 3.44-3.56
Sm 0.0000 0.0972 0.7500 [4 per cell]  4 Pm 3.44-3.52, 4 Y 3.54-3.59, 2 Sm 3.83
Sm 0.1654 0.4004 0.5918 [8 per cell]  6 Y 3.39-3.57, 2 Pm 3.49-3.56
Y 0.0472 0.3606 0.0163 [8 per cell]  1 Pm 3.34, 4 Sm 3.42-3.55, 3 Y 3.43-3.62
Y 0.2154 0.1361 0.8506 [8 per cell]  1 Y 3.37, 4 Sm 3.39-3.59, 3 Pm 3.45-3.60

Calculated values
Excess energy over the best structure of this formula in the dataset (meV/atom): 0
Total DFT energy (no corrections) (eV/atom): -5.409

(11)
VASP calculation (PBE) on an optimized crystal structure of SrLa3.

a = 5.4137 Å, b = 5.4137 Å, c = 10.8833 Å
α = 90.00°, β = 90.00°, γ = 90.00°
Closest atoms and distances in Å follow each position.
Space group I4/mmm (No. 139)
Symmetry-distinct sites (fractional):
Sr 0.0000 0.0000 0.0000 [2 per cell]  12 La 3.83-3.84
La 0.0000 0.0000 0.5000 [2 per cell]  4 Sr 3.83, 8 La 3.84
La 0.0000 0.5000 0.2500 [4 per cell]  8 La 3.83-3.84, 4 Sr 3.84

Calculated values
Total DFT energy (no corrections) (eV/atom): -3.984

(12)
VASP calculation (PBE) on an optimized crystal structure of Li2CdNiN.

a = 4.3089 Å, b = 4.3089 Å, c = 3.5290 Å
α = 90.00°, β = 90.00°, γ = 90.00°
Closest atoms and distances in Å follow each position.
Space group P4/mmm (No. 123)
Symmetry-distinct sites (fractional):
Li 0.0000 0.5000 0.0000 [2 per cell]  2 N 2.15
Cd 0.0000 0.0000 0.5000 [1 per cell]  8 Li 2.78, 4 Ni 3.05
Ni 0.5000 0.5000 0.5000 [1 per cell]  2 N 1.76
N 0.5000 0.5000 0.0000 [1 per cell]  2 Ni 1.76

Calculated values
Total DFT energy (no corrections) (eV/atom): -4.020
Uncorrected formation energy (meV/atom): -250.5

(13)
VASP calculation (PBE) on an optimized crystal structure of PuPaTeO6.

a = 5.8109 Å, b = 5.8109 Å, c = 9.6972 Å
α = 90.00°, β = 90.00°, γ = 120.00°
Closest atoms and distances in Å follow each position.
Space group P-31c (No. 163)
Symmetry-distinct sites (fractional):
Pu 0.0000 0.0000 0.0000 [2 per cell]  6 O 2.39
Pa 0.3333 0.6667 0.2500 [2 per cell]  6 O 2.20
Te 0.3333 0.6667 0.7500 [2 per cell]  6 O 2.21
O 0.0009 0.3448 0.1355 [12 per cell]  1 Pa 2.20, 1 Te 2.21, 1 Pu 2.39

Calculated values
Total DFT energy (no corrections) (eV/atom): -8.750
Uncorrected formation energy (meV/atom): -2448.1

(14)
VASP calculation (PBE) on an optimized crystal structure of FeNi2Os.

a = 2.5515 Å, b = 3.7250 Å, c = 5.0885 Å
α = 90.00°, β = 90.00°, γ = 90.00°
Closest atoms and distances in Å follow each position.
Space group Pmmm (No. 47)
Symmetry-distinct sites (fractional):
Fe 0.0000 0.0000 0.0000 [1 per cell]  2 Os 2.54, 2 Fe 2.55, 8 Ni 2.59
Ni 0.5000 0.5000 0.2507 [2 per cell]  4 Ni 2.54-2.55, 4 Os 2.59, 4 Fe 2.59
Os 0.0000 0.0000 0.5000 [1 per cell]  2 Fe 2.54, 2 Os 2.55, 8 Ni 2.59

Calculated values
Excess energy over the best structure of this formula in the dataset (meV/atom): 33
Total DFT energy (no corrections) (eV/atom): -7.714

(15)
VASP calculation (PBE) on an optimized crystal structure of Al3TeSe.

a = 5.3880 Å, b = 5.3880 Å, c = 5.3880 Å
α = 90.00°, β = 90.00°, γ = 90.00°
Closest atoms and distances in Å follow each position.
Space group Pm-3m (No. 221)
Symmetry-distinct sites (fractional):
Al 0.0000 0.0000 0.5000 [3 per cell]  2 Te 2.69
Te 0.0000 0.0000 0.0000 [1 per cell]  6 Al 2.69
Se 0.5000 0.5000 0.5000 [1 per cell]  12 Al 3.81

Calculated values
Excess energy over the best structure of this formula in the dataset (meV/atom): 379
Total DFT energy (no corrections) (eV/atom): -2.784
Uncorrected formation energy (meV/atom): 786.5

(16)
VASP calculation (PBE) on an optimized crystal structure of Ba2AlTl4Cd3.

a = 4.9764 Å, b = 4.9764 Å, c = 12.3724 Å
α = 90.00°, β = 90.00°, γ = 90.00°
Closest atoms and distances in Å follow each position.
Space group P-4m2 (No. 115)
Symmetry-distinct sites (fractional):
Ba 0.0000 0.5000 0.2400 [2 per cell]  8 Tl 3.79-4.07, 6 Cd 3.82-3.87, 2 Al 3.87
Al 0.5000 0.5000 0.0000 [1 per cell]  4 Tl 2.94
Tl 0.0000 0.0000 0.5000 [1 per cell]  4 Cd 3.03
Tl 0.0000 0.5000 0.8731 [2 per cell]  3 Cd 2.89-2.94, 2 Al 2.94
Tl 0.5000 0.5000 0.5000 [1 per cell]  4 Cd 3.03
Cd 0.0000 0.0000 0.0000 [1 per cell]  4 Tl 2.94
Cd 0.0000 0.5000 0.6397 [2 per cell]  5 Tl 2.89-3.03

Calculated values
Total DFT energy (no corrections) (eV/atom): -2.201

(17)
VASP calculation (PBE) on an optimized crystal structure of MnTe2MoI.

a = 5.2950 Å, b = 5.2950 Å, c = 5.7217 Å
α = 90.00°, β = 90.00°, γ = 90.00°
Closest atoms and distances in Å follow each position.
Space group P4/mmm (No. 123)
Symmetry-distinct sites (fractional):
Mn 0.0000 0.0000 0.0000 [1 per cell]  4 I 3.74, 8 Te 3.90
Te 0.0000 0.5000 0.5000 [2 per cell]  2 Mo 2.65
Mo 0.5000 0.5000 0.5000 [1 per cell]  4 Te 2.65, 2 I 2.86
I 0.5000 0.5000 0.0000 [1 per cell]  2 Mo 2.86

Calculated values
Excess energy over the best structure of this formula in the dataset (meV/atom): 0
Total DFT energy (no corrections) (eV/atom): -4.848
Uncorrected formation energy (meV/atom): 719.1

(18)
VASP calculation (PBE) on an optimized crystal structure of SrAc3Au.

a = 6.1916 Å, b = 6.1916 Å, c = 6.1916 Å
α = 90.00°, β = 90.00°, γ = 90.00°
Closest atoms and distances in Å follow each position.
Space group Pm-3m (No. 221)
Symmetry-distinct sites (fractional):
Sr 0.0000 0.0000 0.0000 [1 per cell]  12 Ac 4.38
Ac 0.0000 0.5000 0.5000 [3 per cell]  2 Au 3.10
Au 0.5000 0.5000 0.5000 [1 per cell]  6 Ac 3.10

Calculated values
Excess energy over the best structure of this formula in the dataset (meV/atom): 15
Total DFT energy (no corrections) (eV/atom): -3.609

(19)
VASP calculation (PBE) on an optimized crystal structure of KHo4Ge3O12.

a = 8.1669 Å, b = 8.1669 Å, c = 8.1669 Å
α = 90.00°, β = 90.00°, γ = 90.00°
Closest atoms and distances in Å follow each position.
Space group Im-3 (No. 204)
Symmetry-distinct sites (fractional):
K 0.0000 0.0000 0.0000 [2 per cell]  12 O 3.02
Ho 0.2500 0.2500 0.2500 [8 per cell]  6 O 2.27
Ge 0.0000 0.0000 0.5000 [6 per cell]  4 O 1.89
O 0.0000 0.1604 0.3336 [24 per cell]  1 Ge 1.89

Calculated values
Total DFT energy (no corrections) (eV/atom): -7.034
Uncorrected formation energy (meV/atom): -2396.0

(20)
VASP calculation (PBE) on an optimized crystal structure of Tb2Dy3In7.

a = 5.1282 Å, b = 25.6042 Å, c = 5.2982 Å
α = 90.00°, β = 90.00°, γ = 90.00°
Closest atoms and distances in Å follow each position.
Space group Cmmm (No. 65)
Symmetry-distinct sites (fractional):
Tb 0.0000 0.1479 0.0000 [4 per cell]  7 In 3.20-3.30
Dy 0.0000 0.3480 0.5000 [4 per cell]  6 In 3.19-3.33
Dy 0.0000 0.5000 0.5000 [2 per cell]  8 In 3.24-3.25
In 0.0000 0.0000 0.0000 [2 per cell]  8 In 3.18-3.31
In 0.0000 0.0776 0.5000 [4 per cell]  4 Dy 3.19-3.24, 2 Tb 3.20, 2 In 3.31
In 0.0000 0.2768 0.0000 [4 per cell]  2 In 2.91, 2 Tb 3.21, 2 Dy 3.22
In 0.0000 0.4266 0.0000 [4 per cell]  2 In 3.18, 2 Tb 3.20, 4 Dy 3.25-3.33

Calculated values
Total DFT energy (no corrections) (eV/atom): -3.721